No. 1
Below is a relaxed structure of Dy4Si2Sb, with properties calculated at the GGA-PBE level.

Values from the calculation:
uncorrected formation energy: -0.627 eV per atom
E_tot: -5.395 eV/atom

Cell: 8.048 8.048 8.049 Å, 109.48 109.51 109.42°
Sites, in units of the cell vectors:
Dy: 0.333 0.152 0.819
Dy: 0.333 0.514 0.181
Dy: 0.848 0.667 0.181
Dy: 0.402 0.083 0.319
Dy: 0.764 0.083 0.681
Si: 0.125 0.375 0.750
Sb: 0.250 0.750 0.500
Dy: 0.486 0.667 0.819
Si: 0.625 0.875 0.250
Si: 0.625 0.375 0.250
Si: 0.625 0.375 0.750
Dy: 0.917 0.236 0.319
Sb: 0.000 0.000 0.000
Dy: 0.917 0.598 0.681



No. 2
Below is a relaxed structure of Dy6SiSb3, with properties calculated at the GGA-PBE level.

Values from the calculation:
uncorrected formation energy: -0.759 eV per atom
E_tot: -5.299 eV/atom

Cell: 7.028 8.198 10.144 Å, 90.00 89.45 90.00°
Sites, in units of the cell vectors:
Sb: 0.561 0.879 0.747
Sb: 0.500 0.500 0.000
Dy: 0.817 0.937 0.241
Sb: 0.939 0.379 0.753
Dy: 0.317 0.563 0.741
Dy: 0.142 0.312 0.060
Dy: 0.858 0.688 0.940
Dy: 0.183 0.063 0.759
Dy: 0.338 0.833 0.059
Sb: 0.000 0.000 0.500
Sb: 0.439 0.121 0.253
Dy: 0.358 0.812 0.440
Dy: 0.838 0.667 0.559
Dy: 0.662 0.167 0.941
Dy: 0.642 0.188 0.560
Dy: 0.683 0.437 0.259
Si: 0.500 0.500 0.500
Dy: 0.162 0.333 0.441
Sb: 0.061 0.621 0.247
Si: 0.000 0.000 0.000



No. 3
Below is a relaxed structure of Dy5Si2Sb2, with properties calculated at the GGA-PBE level.

Values from the calculation:
uncorrected formation energy: -0.922 eV per atom
E_tot: -5.600 eV/atom

Cell: 8.519 8.519 7.862 Å, 90.00 90.00 125.23°
Sites, in units of the cell vectors:
Sb: 0.794 0.206 0.000
Dy: 0.206 0.458 0.832
Dy: 0.706 0.958 0.668
Dy: 0.794 0.542 0.168
Dy: 0.458 0.206 0.832
Dy: 0.294 0.042 0.332
Dy: 0.542 0.794 0.168
Dy: 0.958 0.706 0.668
Si: 0.371 0.371 0.128
Si: 0.629 0.629 0.872
Sb: 0.206 0.794 0.000
Dy: 0.500 0.500 0.500
Si: 0.871 0.871 0.372
Si: 0.129 0.129 0.628
Dy: 0.000 0.000 0.000
Dy: 0.042 0.294 0.332
Sb: 0.294 0.706 0.500
Sb: 0.706 0.294 0.500



No. 4
Below is a relaxed structure of Dy8SiSb2, with properties calculated at the GGA-PBE level.

Values from the calculation:
uncorrected formation energy: -0.479 eV per atom
E_tot: -5.068 eV/atom

Cell: 4.748 7.228 9.418 Å, 91.37 104.60 90.00°
Sites, in units of the cell vectors:
Sb: 0.826 0.213 0.652
Dy: 0.989 0.764 0.978
Dy: 0.403 0.459 0.807
Dy: 0.782 0.642 0.563
Dy: 0.011 0.236 0.022
Sb: 0.174 0.787 0.348
Dy: 0.654 0.057 0.309
Dy: 0.346 0.943 0.691
Dy: 0.218 0.358 0.437
Si: 0.500 0.000 0.000
Dy: 0.597 0.541 0.193



No. 5
Below is a relaxed structure of Dy8SiSb3Te4, with properties calculated at the GGA-PBE level.

Values from the calculation:
uncorrected formation energy: -1.227 eV per atom
E_tot: -5.426 eV/atom

Cell: 8.687 8.718 8.687 Å, 119.89 120.00 90.00°
Sites, in units of the cell vectors:
Sb: 0.000 0.500 0.500
Si: 0.000 0.500 0.000
Te: 0.000 0.000 0.000
Te: 0.000 0.000 0.500
Te: 0.500 0.000 0.500
Dy: 0.254 0.261 0.507
Sb: 0.500 0.500 0.500
Te: 0.500 0.000 0.000
Dy: 0.241 0.271 0.006
Dy: 0.765 0.271 0.006
Dy: 0.235 0.729 0.470
Dy: 0.746 0.739 0.493
Sb: 0.500 0.500 0.000
Dy: 0.759 0.729 0.994
Dy: 0.765 0.271 0.530
Dy: 0.235 0.729 0.994



No. 6
Below is a relaxed structure of Dy6SiSb2Te3, with properties calculated at the GGA-PBE level.

Values from the calculation:
uncorrected formation energy: -1.220 eV per atom
E_tot: -5.445 eV/atom

Cell: 4.316 8.723 9.734 Å, 103.18 102.81 90.00°
Sites, in units of the cell vectors:
Dy: 0.347 0.919 0.693
Si: 0.500 0.000 0.000
Te: 0.830 0.165 0.659
Dy: 0.333 0.423 0.665
Te: 0.500 0.500 0.000
Sb: 0.833 0.667 0.667
Dy: 0.000 0.778 0.999
Dy: 0.667 0.577 0.335
Sb: 0.167 0.333 0.333
Dy: 0.653 0.081 0.307
Te: 0.170 0.835 0.341
Dy: 0.000 0.222 0.001



No. 7
Below is a relaxed structure of SmDy2Sb, with properties calculated at the GGA-PBE level.

Values from the calculation:
uncorrected formation energy: -0.558 eV per atom
E_tot: -5.070 eV/atom

Cell: 4.126 6.484 9.622 Å, 90.00 90.00 108.56°
Sites, in units of the cell vectors:
Dy: 0.637 0.275 0.043
Sb: 0.762 0.523 0.750
Dy: 0.363 0.725 0.957
Sm: 0.942 0.884 0.250
Dy: 0.637 0.275 0.457
Sm: 0.058 0.116 0.750
Sb: 0.238 0.477 0.250
Dy: 0.363 0.725 0.543



No. 8
Below is a relaxed structure of Sm5Dy5Sb6, with properties calculated at the GGA-PBE level.

Values from the calculation:
uncorrected formation energy: -0.934 eV per atom
E_tot: -5.393 eV/atom

Cell: 6.363 9.126 9.126 Å, 120.27 90.00 90.00°
Sites, in units of the cell vectors:
Sb: 0.000 0.386 0.998
Sb: 0.000 0.617 0.617
Sb: 0.500 0.615 0.000
Sm: 0.750 0.666 0.334
Dy: 0.000 0.001 0.752
Sb: 0.000 0.998 0.386
Sm: 0.250 0.666 0.334
Sm: 0.250 0.334 0.666
Dy: 0.000 0.752 0.001
Sb: 0.500 0.385 0.385
Sm: 0.750 0.334 0.666
Dy: 0.500 0.248 0.999
Dy: 0.500 0.999 0.248
Sm: 0.000 0.245 0.245
Sb: 0.500 0.000 0.615
Dy: 0.500 0.755 0.755



No. 9
Below is a relaxed structure of SmDy2Sb3, with properties calculated at the GGA-PBE level.

Values from the calculation:
uncorrected formation energy: -1.145 eV per atom
E_tot: -5.527 eV/atom

Cell: 4.414 6.241 7.645 Å, 114.09 106.78 90.00°
Sites, in units of the cell vectors:
Sb: 0.830 0.330 0.161
Sb: 0.170 0.670 0.839
Dy: 0.834 0.834 0.168
Sb: 0.500 0.000 0.500
Sm: 0.500 0.500 0.500
Dy: 0.166 0.166 0.832



No. 10
Below is a relaxed structure of Sm2DySb, with properties calculated at the GGA-PBE level.

Values from the calculation:
uncorrected formation energy: -0.338 eV per atom
E_tot: -4.879 eV/atom

Cell: 4.065 4.065 9.856 Å, 78.10 78.10 60.00°
Sites, in units of the cell vectors:
Sm: 0.265 0.265 0.205
Sb: 0.666 0.666 0.001
Sm: 0.069 0.069 0.794
Dy: 0.500 0.500 0.500



No. 11
Below is a relaxed structure of SmDySb, with properties calculated at the GGA-PBE level.

Values from the calculation:
uncorrected formation energy: -0.642 eV per atom
E_tot: -5.123 eV/atom

Cell: 4.047 4.047 5.919 Å, 109.99 109.99 90.00°
Sites, in units of the cell vectors:
Dy: 0.631 0.631 0.261
Sb: 0.280 0.280 0.559
Sm: 0.940 0.940 0.880



No. 12
Below is a relaxed structure of SmDySb2, with properties calculated at the GGA-PBE level.

Values from the calculation:
uncorrected formation energy: -1.153 eV per atom
E_tot: -5.545 eV/atom

Cell: 4.430 4.430 7.666 Å, 89.96 106.83 120.03°
Sites, in units of the cell vectors:
Sm: 0.000 0.500 0.500
Sb: 0.504 0.252 0.756
Dy: 0.000 0.000 0.000
Sb: 0.496 0.748 0.244



Question: Among the records above, which one has the highest E_tot?
Answer: Sm2DySb